Below is BaZrSe2 after structural relaxation, with properties calculated at the PBEsol level.

Properties
space-group type	No. 225
size of the total moment	1.8	μB per cell
calculated density	6.703	Mg/m³
relative energy among the computed polymorphs	77	meV per atom

Lattice parameters (Å, degrees): 5.1349 5.1349 5.1349 60.00 60.00 60.00
Closest atoms and distances in Å follow each position.
Sites, in units of the cell vectors:
Ba  0.0000  0.0000  0.0000  8 Se 3.14
Zr  0.5000  0.5000  0.5000  8 Se 3.14
Se  0.2500  0.2500  0.2500  4 Zr 3.14, 4 Ba 3.14
Se  0.7500  0.7500  0.7500  4 Zr 3.14, 4 Ba 3.14